(1)
CuMo2H2 | PBE-GGA | optimized geometry

Unit cell a=6.0308 b=6.0308 c=2.6898 alpha=90.00 beta=90.00 gamma=90.00
Closest atoms and distances in Å follow each position.
Fractional positions:
Mo1 0.6499 0.8501 0.5000  2 H 2.07
Mo2 0.1499 0.6499 0.5000  2 H 2.07
Mo3 0.3501 0.1499 0.5000  2 H 2.07
H1 0.3344 0.8344 0.0000  2 Mo 2.07, 2 Cu 2.25
Cu1 0.5000 0.5000 0.0000  4 H 2.25
H2 0.6656 0.1656 0.0000  2 Mo 2.07, 2 Cu 2.25
H3 0.1656 0.3344 0.0000  2 Mo 2.07, 2 Cu 2.25
Cu2 0.0000 0.0000 0.0000  4 H 2.25
H4 0.8344 0.6656 0.0000  2 Mo 2.07, 2 Cu 2.25
Mo4 0.8501 0.3501 0.5000  2 H 2.07

Energy   -6.134 eV per atom
Symmetry   P4/mbm, No. 127



(2)
MnTlCuCl6 | PBE-GGA | optimized geometry

Unit cell a=6.3015 b=6.2687 c=7.0006 alpha=86.13 beta=93.36 gamma=68.32
Closest atoms and distances in Å follow each position.
Fractional positions:
Cl1 0.3364 0.0401 0.7063  1 Mn 2.25
Cl2 0.6057 0.3932 0.7029  1 Mn 2.34, 1 Cu 2.34
Tl1 0.9807 0.9788 0.9991  6 Cl 3.16-3.29
Cl3 0.0465 0.3385 0.2880  1 Mn 2.24
Mn1 0.3315 0.3314 0.4985  4 Cl 2.24-2.34
Cl4 0.6422 0.9958 0.3189  1 Cu 2.26
Cl5 0.9929 0.6362 0.6842  1 Cu 2.26
Cu1 0.6695 0.6742 0.5030  4 Cl 2.26-2.34
Cl6 0.3944 0.6119 0.2990  1 Mn 2.33, 1 Cu 2.34

Energy   -3.788 eV per atom
Symmetry   P1, No. 1



Q: The lowest energy belongs to which entry?
A: CuMo2H2



What did the first record say?
CuMo2H2 | PBE-GGA | optimized geometry

Unit cell a=6.0308 b=6.0308 c=2.6898 alpha=90.00 beta=90.00 gamma=90.00
Closest atoms and distances in Å follow each position.
Fractional positions:
Mo1 0.6499 0.8501 0.5000  2 H 2.07
Mo2 0.1499 0.6499 0.5000  2 H 2.07
Mo3 0.3501 0.1499 0.5000  2 H 2.07
H1 0.3344 0.8344 0.0000  2 Mo 2.07, 2 Cu 2.25
Cu1 0.5000 0.5000 0.0000  4 H 2.25
H2 0.6656 0.1656 0.0000  2 Mo 2.07, 2 Cu 2.25
H3 0.1656 0.3344 0.0000  2 Mo 2.07, 2 Cu 2.25
Cu2 0.0000 0.0000 0.0000  4 H 2.25
H4 0.8344 0.6656 0.0000  2 Mo 2.07, 2 Cu 2.25
Mo4 0.8501 0.3501 0.5000  2 H 2.07

Energy   -6.134 eV per atom
Symmetry   P4/mbm, No. 127



Q: Number 2 is which compound?
A: MnTlCuCl6



Q: Which of these has the lowest energy?
A: CuMo2H2